Here is a relaxed structure of CeTiCo from Alexandria. Energies are from PBE-GGA.

The structure in extended XYZ format:
```
3
Lattice="3.981 0.000 0.000 -1.991 3.448 0.000 0.000 0.000 4.347" Properties=species:S:1:pos:R:3 pbc="T T T"
Ce 0.000 0.000 0.000
Ti 1.991 1.149 2.218
Co 0.000 2.298 1.758
```

As for the formation energy: 35 meV per atom. The relative energy among the computed polymorphs comes out at 121.7 meV per atom. The magnetic moment comes out at 0.00 μB per formula unit. Its space group is P3m1.